{"formula": "VBPO2", "functional": "PBE with a Hubbard U", "state": "relaxed", "cell": [[3.214, 0.000, 0.000], [0.000, 3.214, 0.000], [0.000, 0.000, 6.670]], "species": ["V", "B", "P", "O", "O"], "fractional_positions": [[0.000, 0.000, 0.000], [0.500, 0.500, 0.000], [0.000, 0.000, 0.500], [0.000, 0.500, 0.500], [0.500, 0.000, 0.500]], "dft_energy_ev_per_atom": -5.58, "spacegroup": "P4/mmm", "dos_at_fermi_per_ev_cell": 1.5}

{"formula": "BPWO2", "functional": "PBE with a Hubbard U", "state": "relaxed", "cell": [[3.790, 0.000, 0.000], [0.000, 3.790, 0.000], [0.000, 0.000, 5.213]], "species": ["B", "P", "W", "O", "O"], "fractional_positions": [[0.000, 0.000, 0.000], [0.500, 0.500, 0.000], [0.500, 0.500, 0.500], [0.000, 0.500, 0.500], [0.500, 0.000, 0.500]], "dft_energy_ev_per_atom": -5.95, "spacegroup": "P4/mmm", "dos_at_fermi_per_ev_cell": 1.5}

{"formula": "BPWO2", "functional": "PBE with a Hubbard U", "state": "relaxed", "cell": [[3.610, 0.000, 0.000], [0.000, 3.610, 0.000], [0.000, 0.000, 4.093]], "species": ["B", "P", "W", "O", "O"], "fractional_positions": [[0.000, 0.000, 0.000], [0.000, 0.000, 0.500], [0.500, 0.500, 0.500], [0.000, 0.500, 0.000], [0.500, 0.000, 0.000]], "dft_energy_ev_per_atom": -5.53, "spacegroup": "P4/mmm", "dos_at_fermi_per_ev_cell": 1.8}